{
  "formula": "Tm4InAg2Os",
  "functional": "GGA-PBE",
  "state": "optimized geometry",
  "magnetic_moment_mub_per_fu": 0.00,
  "vol_a3_per_fu": 180.4,
  "energy_ev_per_atom": -5.095,
  "mass_density_kg_m3": 11013,
  "delta_e_f_ev_per_atom": -0.4003,
  "lattice": [[-0.4648, -1.3665, 4.8215], [1.3347, -4.6334, 1.4422], [7.9263, 0.6639, 3.5791]],
  "species": ["Tm", "Tm", "Tm", "Tm", "In", "Ag", "Ag", "Os"],
  "fractional_positions": [[0.3858, 0.3858, 0.8426], [0.8669, 0.8669, 0.3992], [0.1331, 0.1331, 0.6008], [0.6142, 0.6142, 0.1574], [0.0000, 0.0000, 0.0000], [0.7423, 0.7423, 0.7730], [0.2577, 0.2577, 0.2270], [0.5000, 0.5000, 0.5000]]
}

---

{
  "formula": "B2PtAu",
  "functional": "GGA-PBE",
  "state": "optimized geometry",
  "magnetic_moment_mub_per_fu": 0.00,
  "vol_a3_per_fu": 58.9,
  "energy_ev_per_atom": -5.311,
  "polymorph_energy_mev_per_atom": 0,
  "mass_density_kg_m3": 11653,
  "delta_e_f_ev_per_atom": 0.3573,
  "lattice": [[-0.7035, -3.1440, 3.7208], [4.4093, -2.0089, -0.8637], [3.9002, 0.5977, 4.4977]],
  "species": ["B", "B", "B", "B", "Au", "Au", "Pt", "Pt"],
  "fractional_positions": [[0.6034, 0.1250, 0.2500], [0.1466, 0.6250, 0.2500], [0.3750, 0.3966, 0.7500], [0.8750, 0.8534, 0.7500], [0.0000, 0.0000, 0.0000], [0.7500, 0.2500, 0.5000], [0.5000, 0.5000, 0.0000], [0.2500, 0.7500, 0.5000]]
}

---

{
  "formula": "Ac2TbDy",
  "functional": "GGA-PBE",
  "state": "optimized geometry",
  "magnetic_moment_mub_per_fu": 0.00,
  "vol_a3_per_fu": 150.6,
  "energy_ev_per_atom": -4.311,
  "polymorph_energy_mev_per_atom": 5,
  "mass_density_kg_m3": 8547,
  "delta_e_f_ev_per_atom": 0.0512,
  "lattice": [[-2.5498, -0.1720, -2.9176], [1.7006, -3.2362, -1.2955], [-6.1370, -5.5019, 5.6876]],
  "species": ["Ac", "Ac", "Tb", "Dy"],
  "fractional_positions": [[0.0000, 0.0000, 0.7507], [0.0000, 0.0000, 0.2493], [0.5000, 0.5000, 0.5000], [0.5000, 0.5000, 0.0000]]
}

---

Which formula does entry 2 have? B2PtAu